Record 1
! NaGa4FeO8, relaxed, DFT GGA+U; values from VASP
&SYSTEM
  ibrav = 0, nat = 14, ntyp = 4
/
ATOMIC_SPECIES
Na 22.99 Na.upf
Ga 69.72 Ga.upf
Fe 55.84 Fe.upf
O 16.00 O.upf
ATOMIC_POSITIONS crystal
Na 0.000 0.000 0.000
Ga 0.110 0.629 0.629
Ga 0.248 0.248 0.248
Ga 0.629 0.110 0.629
Ga 0.629 0.629 0.110
Fe 0.628 0.628 0.628
O 0.380 0.380 0.850
O 0.380 0.850 0.380
O 0.381 0.381 0.381
O 0.423 0.853 0.853
O 0.850 0.380 0.380
O 0.853 0.423 0.853
O 0.853 0.853 0.423
O 0.858 0.858 0.858
CELL_PARAMETERS angstrom
3.011 1.738 4.875
-3.011 1.738 4.875
0.000 -3.477 4.875
! - crystal system = trigonal
! - volume (Å³ per atom) = 10.936
! - mass density (Mg/m³) = 5.27
! - final energy (Ry/atom) = -0.42168
! - magnetization (μB per formula unit) = 1.001
! - symmetry = R3m

=====

Record 2
! Na2GaFeO4, relaxed, DFT GGA+U; values from VASP
&SYSTEM
  ibrav = 0, nat = 8, ntyp = 4
/
ATOMIC_SPECIES
Na 22.99 Na.upf
Ga 69.72 Ga.upf
Fe 55.84 Fe.upf
O 16.00 O.upf
ATOMIC_POSITIONS crystal
Na 0.000 0.000 0.000
Na 0.500 0.500 0.000
Ga 0.000 0.500 0.500
Fe 0.500 0.000 0.500
O 0.236 0.000 0.697
O 0.272 0.500 0.307
O 0.728 0.500 0.693
O 0.764 0.000 0.303
CELL_PARAMETERS angstrom
5.196 0.000 0.000
0.000 2.994 0.000
-1.722 0.000 5.341
! - crystal system = monoclinic
! - volume (Å³ per atom) = 10.389
! - mass density (Mg/m³) = 4.71
! - final energy (Ry/atom) = -0.39758
! - magnetization (μB per formula unit) = 1.005
! - symmetry = P2/m

=====

Record 3
! Na4Ga3FeO8, relaxed, DFT GGA+U; values from VASP
&SYSTEM
  ibrav = 0, nat = 16, ntyp = 4
/
ATOMIC_SPECIES
Na 22.99 Na.upf
Ga 69.72 Ga.upf
Fe 55.84 Fe.upf
O 16.00 O.upf
ATOMIC_POSITIONS crystal
Na 0.000 0.000 0.000
Na 0.000 0.500 0.500
Na 0.500 0.000 0.500
Na 0.500 0.500 0.000
Ga 0.000 0.000 0.500
Ga 0.000 0.500 0.000
Ga 0.500 0.000 0.000
Fe 0.500 0.500 0.500
O 0.231 0.734 0.734
O 0.233 0.233 0.233
O 0.266 0.266 0.769
O 0.266 0.769 0.266
O 0.734 0.231 0.734
O 0.734 0.734 0.231
O 0.767 0.767 0.767
O 0.769 0.266 0.266
CELL_PARAMETERS angstrom
3.035 1.752 5.408
-3.035 1.752 5.408
0.000 -3.504 5.408
! - crystal system = trigonal
! - volume (Å³ per atom) = 10.783
! - mass density (Mg/m³) = 4.67
! - final energy (Ry/atom) = -0.40319
! - magnetization (μB per formula unit) = 5.000
! - symmetry = R-3m

=====

Record 4
! Na3Ga3FeO8, relaxed, DFT GGA+U; values from VASP
&SYSTEM
  ibrav = 0, nat = 15, ntyp = 4
/
ATOMIC_SPECIES
Na 22.99 Na.upf
Ga 69.72 Ga.upf
Fe 55.84 Fe.upf
O 16.00 O.upf
ATOMIC_POSITIONS crystal
Na 0.000 0.000 0.000
Na 0.000 0.500 0.000
Na 0.500 0.000 0.000
Ga 0.000 0.500 0.500
Ga 0.500 0.000 0.500
Ga 0.500 0.500 0.500
Fe 0.000 0.000 0.500
O 0.222 0.745 0.690
O 0.224 0.224 0.688
O 0.255 0.778 0.310
O 0.270 0.270 0.307
O 0.730 0.730 0.693
O 0.745 0.222 0.690
O 0.776 0.776 0.312
O 0.778 0.255 0.310
CELL_PARAMETERS angstrom
5.170 -2.975 0.000
5.170 2.975 0.000
-3.447 0.000 5.480
! - crystal system = monoclinic
! - volume (Å³ per atom) = 11.237
! - mass density (Mg/m³) = 4.55
! - final energy (Ry/atom) = -0.40702
! - magnetization (μB per formula unit) = 2.021
! - symmetry = C2/m

=====

Q: Among the records above, which one has the highest mass density?
A: NaGa4FeO8